TbNiS2O8 after structural relaxation, computed with PBE+U.

Energy: -6.18 eV per atom

a b c (Å): 5.1520 5.1520 6.8133
angles (deg): 90.00 90.00 120.00
Last column: magnetic moment on the atom in μB.
Atoms (fractional coordinates):
Tb (0.0000, 0.0000, 0.5000)  -0.03
Ni (0.0000, 0.0000, 0.0000)  1.13
S (0.3333, 0.6667, 0.7028)  0.00
S (0.6667, 0.3333, 0.2972)  0.00
O (0.1745, 0.3489, 0.7716)  0.01
O (0.1745, 0.8255, 0.7716)  0.01
O (0.6511, 0.8255, 0.7716)  0.01
O (0.3489, 0.1745, 0.2284)  0.01
O (0.6667, 0.3333, 0.5165)  0.00
O (0.3333, 0.6667, 0.4835)  0.00
O (0.8255, 0.6511, 0.2284)  0.01
O (0.8255, 0.1745, 0.2284)  0.01